1.
A plane-wave DFT calculation with GGA-PBEsol was carried out for a geometry-optimized Na2Nb2H structure. Values from VASP.

Geometry as Quantum ESPRESSO input:
```
&SYSTEM
  ibrav = 0, nat = 5, ntyp = 3
/
ATOMIC_SPECIES
Nb 92.91 Nb.upf
H 1.01 H.upf
Na 22.99 Na.upf
CELL_PARAMETERS angstrom
3.563 0.000 0.000
0.000 3.563 0.000
-1.781 -1.781 9.181
ATOMIC_POSITIONS crystal
Nb 0.250 0.750 0.500
H 0.000 0.000 0.000
Na 0.417 0.417 0.833
Nb 0.750 0.250 0.500
Na 0.583 0.583 0.167
```

Calculated values
Total moment, μB/f.u.: 0.0
Raw total energy, eV per atom: -4.832
ρ, Mg/m³: 3.32
DOS(E_F), states/eV/cell: 2.24
SG: I4/mmm, No. 139

=====

2.
A plane-wave DFT calculation with GGA-PBEsol was carried out for a geometry-optimized Ag3SI structure. Values from VASP.

Geometry as Quantum ESPRESSO input:
```
&SYSTEM
  ibrav = 0, nat = 10, ntyp = 3
/
ATOMIC_SPECIES
Ag 107.87 Ag.upf
S 32.06 S.upf
I 126.90 I.upf
CELL_PARAMETERS angstrom
-6.194 0.774 -2.385
-0.377 -6.572 -1.152
1.390 2.185 6.459
ATOMIC_POSITIONS crystal
Ag 0.008 0.008 0.524
Ag 0.592 0.092 0.184
S 0.263 0.263 0.024
Ag 0.426 0.426 0.851
I 0.513 0.010 0.524
S 0.760 0.760 0.024
Ag 0.516 0.516 0.524
I 0.010 0.513 0.524
Ag 0.092 0.592 0.184
Ag 0.938 0.938 0.877
```

Calculated values
Uncorrected formation energy, eV per atom: -0.049
Total moment, μB/f.u.: 0.0
Raw total energy, eV per atom: -3.266
ρ, Mg/m³: 7.03
DOS(E_F), states/eV/cell: 1.23
SG: Fmm2, No. 42

=====

3.
A plane-wave DFT calculation with GGA-PBEsol was carried out for a geometry-optimized LiHf3Sn structure. Values from VASP.

Geometry as Quantum ESPRESSO input:
```
&SYSTEM
  ibrav = 0, nat = 5, ntyp = 3
/
ATOMIC_SPECIES
Sn 118.71 Sn.upf
Hf 178.49 Hf.upf
Li 6.94 Li.upf
CELL_PARAMETERS angstrom
-1.127 -2.023 4.713
-4.063 -2.592 -2.084
3.129 -4.094 -1.009
ATOMIC_POSITIONS crystal
Sn 0.000 0.000 0.000
Hf 0.000 0.500 0.000
Hf 0.500 0.000 0.000
Li 0.500 0.500 0.500
Hf 0.000 0.000 0.500
```

Calculated values
Total moment, μB/f.u.: 0.0
Raw total energy, eV per atom: -6.375
ρ, Mg/m³: 7.58
DOS(E_F), states/eV/cell: 7.56
SG: Pm-3m, No. 221
E_form, eV per atom: 1.17

=====

4.
A plane-wave DFT calculation with GGA-PBEsol was carried out for a geometry-optimized CsTcP3 structure. Values from VASP.

Geometry as Quantum ESPRESSO input:
```
&SYSTEM
  ibrav = 0, nat = 5, ntyp = 3
/
ATOMIC_SPECIES
P 30.97 P.upf
Tc 98.00 Tc.upf
Cs 132.91 Cs.upf
CELL_PARAMETERS angstrom
5.166 0.000 0.000
0.000 5.166 0.000
0.000 0.000 5.166
ATOMIC_POSITIONS crystal
P 0.500 0.000 0.000
P 0.000 0.000 0.500
Tc 0.500 0.500 0.500
Cs 0.000 0.000 0.000
P 0.000 0.500 0.000
```

Calculated values
Total moment, μB/f.u.: 3.7
Raw total energy, eV per atom: -3.131
ρ, Mg/m³: 3.90
DOS(E_F), states/eV/cell: 4.38
SG: Pm-3m, No. 221
E_form, eV per atom: 2.79

=====

5.
A plane-wave DFT calculation with GGA-PBEsol was carried out for a geometry-optimized Zr2FeP structure. Values from VASP.

Geometry as Quantum ESPRESSO input:
```
&SYSTEM
  ibrav = 0, nat = 4, ntyp = 3
/
ATOMIC_SPECIES
Zr 91.22 Zr.upf
P 30.97 P.upf
Fe 55.84 Fe.upf
CELL_PARAMETERS angstrom
3.653 0.000 0.000
0.000 3.653 0.000
-1.826 -1.826 4.759
ATOMIC_POSITIONS crystal
Zr 0.000 0.000 0.000
P 0.250 0.750 0.500
Zr 0.750 0.250 0.500
Fe 0.500 0.500 0.000
```

Calculated values
Total moment, μB/f.u.: 0.0
Raw total energy, eV per atom: -8.760
ρ, Mg/m³: 7.04
DOS(E_F), states/eV/cell: 2.80
SG: I-4m2, No. 119
E_form, eV per atom: -0.53

=====

6.
A plane-wave DFT calculation with GGA-PBEsol was carried out for a geometry-optimized Rb2HgBiCl6 structure. Values from VASP.

Geometry as Quantum ESPRESSO input:
```
&SYSTEM
  ibrav = 0, nat = 10, ntyp = 4
/
ATOMIC_SPECIES
Rb 85.47 Rb.upf
Cl 35.45 Cl.upf
Bi 208.98 Bi.upf
Hg 200.59 Hg.upf
CELL_PARAMETERS angstrom
-4.161 -6.147 -2.122
-2.802 -4.801 5.357
-7.587 -0.201 1.414
ATOMIC_POSITIONS crystal
Rb 0.750 0.750 0.750
Cl 0.754 0.246 0.754
Bi 0.000 0.000 0.000
Cl 0.754 0.246 0.246
Cl 0.246 0.754 0.246
Cl 0.246 0.246 0.754
Rb 0.250 0.250 0.250
Cl 0.246 0.754 0.754
Hg 0.500 0.500 0.500
Cl 0.754 0.754 0.246
```

Calculated values
Uncorrected formation energy, eV per atom: -1.216
Total moment, μB/f.u.: 0.0
Raw total energy, eV per atom: -3.111
ρ, Mg/m³: 4.05
DOS(E_F), states/eV/cell: 2.45
SG: Fm-3m, No. 225

=====

7.
A plane-wave DFT calculation with GGA-PBEsol was carried out for a geometry-optimized AsPAu2 structure. Values from VASP.

Geometry as Quantum ESPRESSO input:
```
&SYSTEM
  ibrav = 0, nat = 4, ntyp = 3
/
ATOMIC_SPECIES
Au 196.97 Au.upf
P 30.97 P.upf
As 74.92 As.upf
CELL_PARAMETERS angstrom
3.896 0.000 0.000
0.000 3.896 0.000
-1.948 -1.948 4.511
ATOMIC_POSITIONS crystal
Au 0.750 0.250 0.500
Au 0.250 0.750 0.500
P 0.500 0.500 0.000
As 0.000 0.000 0.000
```

Calculated values
Total moment, μB/f.u.: 0.0
Raw total energy, eV per atom: -4.350
ρ, Mg/m³: 12.12
Energy relative to the lowest polymorph listed for this composition, kJ/mol of atoms: 0.1
DOS(E_F), states/eV/cell: 1.31
SG: I4/mmm, No. 139
E_form, eV per atom: 0.34

=====

8.
A plane-wave DFT calculation with GGA-PBEsol was carried out for a geometry-optimized Y4Ga12Fe structure. Values from VASP.

Geometry as Quantum ESPRESSO input:
```
&SYSTEM
  ibrav = 0, nat = 17, ntyp = 3
/
ATOMIC_SPECIES
Y 88.91 Y.upf
Ga 69.72 Ga.upf
Fe 55.84 Fe.upf
CELL_PARAMETERS angstrom
-3.497 4.580 -4.508
-1.037 -6.888 -2.236
-2.621 0.782 6.786
ATOMIC_POSITIONS crystal
Y 0.000 0.000 0.500
Ga 0.716 0.716 0.000
Ga 0.000 0.284 0.284
Ga 0.750 0.250 0.500
Ga 0.750 0.500 0.250
Ga 0.250 0.750 0.500
Ga 0.500 0.750 0.250
Ga 0.000 0.716 0.716
Ga 0.716 0.000 0.716
Y 0.500 0.000 0.000
Y 0.000 0.500 0.000
Y 0.500 0.500 0.500
Ga 0.284 0.284 0.000
Ga 0.250 0.500 0.750
Fe 0.000 0.000 0.000
Ga 0.500 0.250 0.750
Ga 0.284 0.000 0.284
```

Calculated values
Total moment, μB/f.u.: 1.2
Raw total energy, eV per atom: -5.086
ρ, Mg/m³: 6.88
DOS(E_F), states/eV/cell: 7.20
SG: Im-3m, No. 229
E_form, eV per atom: -0.60

=====

9.
A plane-wave DFT calculation with GGA-PBEsol was carried out for a geometry-optimized Co2ReRu structure. Values from VASP.

Geometry as Quantum ESPRESSO input:
```
&SYSTEM
  ibrav = 0, nat = 4, ntyp = 3
/
ATOMIC_SPECIES
Re 186.21 Re.upf
Co 58.93 Co.upf
Ru 101.07 Ru.upf
CELL_PARAMETERS angstrom
2.582 0.000 0.000
0.000 4.435 0.032
-1.291 -0.745 4.188
ATOMIC_POSITIONS crystal
Re 0.497 0.486 0.994
Co 0.750 0.248 0.499
Co 0.000 0.000 0.000
Ru 0.253 0.766 0.507
```

Calculated values
Total moment, μB/f.u.: 0.6
Raw total energy, eV per atom: -9.653
ρ, Mg/m³: 14.01
Energy relative to the lowest polymorph listed for this composition, kJ/mol of atoms: 1.7
DOS(E_F), states/eV/cell: 5.56
SG: Cm, No. 8
E_form, eV per atom: 0.09

=====

10.
A plane-wave DFT calculation with GGA-PBEsol was carried out for a geometry-optimized SrLiSb2 structure. Values from VASP.

Geometry as Quantum ESPRESSO input:
```
&SYSTEM
  ibrav = 0, nat = 4, ntyp = 3
/
ATOMIC_SPECIES
Sb 121.76 Sb.upf
Sr 87.62 Sr.upf
Li 6.94 Li.upf
CELL_PARAMETERS angstrom
4.055 0.000 0.000
0.000 4.963 -0.071
-2.028 -2.373 5.584
ATOMIC_POSITIONS crystal
Sb 0.743 0.339 0.486
Sb 0.046 0.983 0.091
Sr 0.479 0.419 0.958
Li 0.233 0.759 0.465
```

Calculated values
Uncorrected formation energy, eV per atom: -0.563
Total moment, μB/f.u.: 0.0
Raw total energy, eV per atom: -3.794
ρ, Mg/m³: 5.03
Energy relative to the lowest polymorph listed for this composition, kJ/mol of atoms: 5.1
DOS(E_F), states/eV/cell: 1.26
SG: Cm, No. 8

=====

11.
A plane-wave DFT calculation with GGA-PBEsol was carried out for a geometry-optimized MgVAgO4 structure. Values from VASP.

Geometry as Quantum ESPRESSO input:
```
&SYSTEM
  ibrav = 0, nat = 28, ntyp = 4
/
ATOMIC_SPECIES
O 16.00 O.upf
Ag 107.87 Ag.upf
V 50.94 V.upf
Mg 24.30 Mg.upf
CELL_PARAMETERS angstrom
5.293 0.000 0.000
0.000 6.641 0.000
0.000 0.000 9.412
ATOMIC_POSITIONS crystal
O 0.294 0.250 0.617
O 0.939 0.250 0.865
Ag 0.995 0.250 0.347
O 0.178 0.952 0.386
O 0.706 0.750 0.383
Ag 0.505 0.250 0.847
Ag 0.005 0.750 0.653
O 0.178 0.548 0.386
O 0.322 0.952 0.886
O 0.822 0.048 0.614
V 0.019 0.750 0.322
V 0.981 0.250 0.678
Mg 0.500 0.500 0.500
Mg 0.000 0.500 0.000
V 0.481 0.750 0.822
Mg 0.500 0.000 0.500
O 0.061 0.750 0.135
O 0.678 0.452 0.114
O 0.822 0.452 0.614
Ag 0.495 0.750 0.153
V 0.519 0.250 0.178
O 0.206 0.250 0.117
O 0.322 0.548 0.886
O 0.439 0.750 0.635
Mg 0.000 0.000 0.000
O 0.794 0.750 0.883
O 0.561 0.250 0.365
O 0.678 0.048 0.114
```

Calculated values
Uncorrected formation energy, eV per atom: -2.013
Total moment, μB/f.u.: 0.0
Raw total energy, eV per atom: -7.107
ρ, Mg/m³: 4.96
DOS(E_F), states/eV/cell: 0.00
SG: Pnma, No. 62

=====

12.
A plane-wave DFT calculation with GGA-PBEsol was carried out for a geometry-optimized LiYP2 structure. Values from VASP.

Geometry as Quantum ESPRESSO input:
```
&SYSTEM
  ibrav = 0, nat = 4, ntyp = 3
/
ATOMIC_SPECIES
Y 88.91 Y.upf
P 30.97 P.upf
Li 6.94 Li.upf
CELL_PARAMETERS angstrom
3.454 0.000 0.033
0.000 3.474 0.000
-0.068 0.000 5.541
ATOMIC_POSITIONS crystal
Y 0.500 0.500 0.000
P 0.999 0.000 0.296
P 0.001 0.000 0.704
Li 0.500 0.500 0.500
```

Calculated values
Total moment, μB/f.u.: 0.0
Raw total energy, eV per atom: -5.857
ρ, Mg/m³: 3.94
Energy relative to the lowest polymorph listed for this composition, kJ/mol of atoms: 0.0
DOS(E_F), states/eV/cell: 2.16
SG: P2/m, No. 10
E_form, eV per atom: -0.76

=====

Which value of total moment does entry 3 give?
0.0 μB/f.u.